*1*
# Ga2Pd8Au, relaxed, DFT PBE
data_Ga2Pd8Au
_chemical_formula_sum 'Ga4 Pd16 Au2'
_space_group_name_H-M_alt 'I m m m'
_space_group_IT_number 71
_space_group_name_Hall '-I 2 2'
_cell_length_a 4.0854
_cell_length_b 6.9969
_cell_length_c 12.1683
_cell_angle_alpha 90.00
_cell_angle_beta 90.00
_cell_angle_gamma 90.00
loop_
_atom_site_label
_atom_site_fract_x
_atom_site_fract_y
_atom_site_fract_z
Ga1 0.0000 0.0000 0.1920
Pd1 0.0000 0.1950 0.0000
Pd2 0.0000 0.2815 0.3393
Pd3 0.0000 0.5000 0.1530
Au1 0.0000 0.0000 0.5000
# D(E_F)	0.5309	states/eV per atom

=====

*2*
# Ga2Pd8Au, relaxed, DFT PBE
data_Ga2Pd8Au
_chemical_formula_sum 'Ga4 Pd16 Au2'
_space_group_name_H-M_alt 'C 1 2/m 1'
_space_group_IT_number 12
_cell_length_a 13.8847
_cell_length_b 4.0623
_cell_length_c 6.4210
_cell_angle_alpha 90.00
_cell_angle_beta 110.21
_cell_angle_gamma 90.00
loop_
_space_group_symop_operation_xyz
'x,y,z'
'-x,-y,-z'
'-x,y,-z'
'x,-y,z'
'x+1/2,y+1/2,z'
'-x+1/2,-y+1/2,-z'
'-x+1/2,y+1/2,-z'
'x+1/2,-y+1/2,z'
loop_
_atom_site_label
_atom_site_fract_x
_atom_site_fract_y
_atom_site_fract_z
Ga1 0.2175 0.0000 0.1608
Pd1 0.0425 0.0000 0.2276
Pd2 0.1042 0.5000 0.9699
Pd3 0.1541 0.0000 0.7206
Pd4 0.1797 0.5000 0.4249
Au1 0.0000 0.5000 0.5000
# D(E_F)	0.5327	states/eV per atom

=====

Which of them is the most stable, and which is the least stable? *2* and *1*, in that order.

=====

*1*
# GaPdAu6, relaxed, DFT PBE
data_GaPdAu6
_chemical_formula_sum 'Ga2 Pd2 Au12'
_space_group_name_H-M_alt 'I 4/m m m'
_space_group_IT_number 139
_space_group_name_Hall '-I 4 2'
_cell_length_a 4.0657
_cell_length_b 4.0657
_cell_length_c 16.9195
_cell_angle_alpha 90.00
_cell_angle_beta 90.00
_cell_angle_gamma 90.00
loop_
_atom_site_label
_atom_site_fract_x
_atom_site_fract_y
_atom_site_fract_z
Ga1 0.0000 0.0000 0.0000
Pd1 0.0000 0.0000 0.5000
Au1 0.0000 0.0000 0.2551
Au2 0.0000 0.5000 0.1202
# D(E_F)	0.3242	states/eV per atom

=====

*2*
# GaPdAu6, relaxed, DFT PBE
data_GaPdAu6
_chemical_formula_sum 'Ga1 Pd1 Au6'
_space_group_name_H-M_alt 'P -1'
_space_group_IT_number 2
_cell_length_a 5.1032
_cell_length_b 5.4033
_cell_length_c 5.7460
_cell_angle_alpha 69.05
_cell_angle_beta 82.95
_cell_angle_gamma 86.99
loop_
_space_group_symop_operation_xyz
'x,y,z'
'-x,-y,-z'
loop_
_atom_site_label
_atom_site_fract_x
_atom_site_fract_y
_atom_site_fract_z
Ga1 0.0000 0.0000 0.0000
Pd1 0.5000 0.5000 0.5000
Au1 0.0240 0.4962 0.2513
Au2 0.2406 0.0096 0.5754
Au3 0.4453 0.2427 0.0251
# D(E_F)	0.2993	states/eV per atom

=====

Which of them is the most stable, and which is the least stable? *1* and *2*, in that order.

=====

*1*
# PmGaAu3, relaxed, DFT PBE
data_PmGaAu3
_chemical_formula_sum 'Pm4 Ga4 Au12'
_space_group_name_H-M_alt 'C m m m'
_space_group_IT_number 65
_space_group_name_Hall '-C 2 2'
_cell_length_a 4.4298
_cell_length_b 24.4975
_cell_length_c 4.0640
_cell_angle_alpha 90.00
_cell_angle_beta 90.00
_cell_angle_gamma 90.00
loop_
_atom_site_label
_atom_site_fract_x
_atom_site_fract_y
_atom_site_fract_z
Pm1 0.0000 0.1672 0.0000
Ga1 0.0000 0.3839 0.5000
Au1 0.0000 0.0584 0.5000
Au2 0.0000 0.2820 0.5000
Au3 0.0000 0.4444 0.0000
# D(E_F)	0.5202	states/eV per atom

=====

*2*
# PmGaAu3, relaxed, DFT PBE
data_PmGaAu3
_chemical_formula_sum 'Pm4 Ga4 Au12'
_space_group_name_H-M_alt 'P n m a'
_space_group_IT_number 62
_cell_length_a 5.8414
_cell_length_b 12.6874
_cell_length_c 5.6833
_cell_angle_alpha 90.00
_cell_angle_beta 90.00
_cell_angle_gamma 90.00
loop_
_space_group_symop_operation_xyz
'x,y,z'
'-x,-y,-z'
'-x+1/2,-y,z+1/2'
'x+1/2,y,-z+1/2'
'x+1/2,-y+1/2,-z+1/2'
'-x+1/2,y+1/2,z+1/2'
'-x,y+1/2,-z'
'x,-y+1/2,z'
loop_
_atom_site_label
_atom_site_fract_x
_atom_site_fract_y
_atom_site_fract_z
Pm1 0.0000 0.0000 0.0000
Ga1 0.1827 0.2500 0.1730
Au1 0.0116 0.6081 0.5131
Au2 0.1533 0.7500 0.1432
# D(E_F)	0.5088	states/eV per atom

=====

Which of them is the most stable, and which is the least stable? *2* and *1*, in that order.

=====

*1*
# PmGa2Au4, relaxed, DFT PBE
data_PmGa2Au4
_chemical_formula_sum 'Pm4 Ga8 Au16'
_space_group_name_H-M_alt 'P n m a'
_space_group_IT_number 62
_cell_length_a 17.7996
_cell_length_b 4.5639
_cell_length_c 6.8223
_cell_angle_alpha 90.00
_cell_angle_beta 90.00
_cell_angle_gamma 90.00
loop_
_space_group_symop_operation_xyz
'x,y,z'
'-x,-y,-z'
'-x+1/2,-y,z+1/2'
'x+1/2,y,-z+1/2'
'x+1/2,-y+1/2,-z+1/2'
'-x+1/2,y+1/2,z+1/2'
'-x,y+1/2,-z'
'x,-y+1/2,z'
loop_
_atom_site_label
_atom_site_fract_x
_atom_site_fract_y
_atom_site_fract_z
Pm1 0.1364 0.2500 0.0091
Ga1 0.0371 0.7500 0.2273
Ga2 0.2220 0.2500 0.5305
Au1 0.0360 0.7500 0.8024
Au2 0.0761 0.2500 0.5145
Au3 0.1783 0.7500 0.3148
Au4 0.1941 0.7500 0.7290
# D(E_F)	0.3891	states/eV per atom

=====

*2*
# PmGa2Au4, relaxed, DFT PBE
data_PmGa2Au4
_chemical_formula_sum 'Pm3 Ga6 Au12'
_space_group_name_H-M_alt 'R -3 m'
_space_group_IT_number 166
_space_group_name_Hall '-R 3 2"'
_cell_length_a 4.2359
_cell_length_b 4.2359
_cell_length_c 31.8058
_cell_angle_alpha 90.00
_cell_angle_beta 90.00
_cell_angle_gamma 120.00
loop_
_atom_site_label
_atom_site_fract_x
_atom_site_fract_y
_atom_site_fract_z
Pm1 0.0000 0.0000 0.0000
Ga1 0.0000 0.0000 0.1928
Au1 0.0000 0.0000 0.1084
Au2 0.0000 0.0000 0.2778
# D(E_F)	0.3992	states/eV per atom

=====

Which of them is the most stable, and which is the least stable? *1* and *2*, in that order.

=====

*1*
# PmGaAu4, relaxed, DFT PBE
data_PmGaAu4
_chemical_formula_sum 'Pm4 Ga4 Au16'
_space_group_name_H-M_alt 'C 1 2/m 1'
_space_group_IT_number 12
_cell_length_a 11.0991
_cell_length_b 6.1087
_cell_length_c 7.9006
_cell_angle_alpha 90.00
_cell_angle_beta 112.05
_cell_angle_gamma 90.00
loop_
_space_group_symop_operation_xyz
'x,y,z'
'-x,-y,-z'
'-x,y,-z'
'x,-y,z'
'x+1/2,y+1/2,z'
'-x+1/2,-y+1/2,-z'
'-x+1/2,y+1/2,-z'
'x+1/2,-y+1/2,z'
loop_
_atom_site_label
_atom_site_fract_x
_atom_site_fract_y
_atom_site_fract_z
Pm1 0.1985 0.0000 0.3157
Ga1 0.0602 0.5000 0.2795
Au1 0.0000 0.2446 0.5000
Au2 0.1088 0.2394 0.9412
Au3 0.2186 0.0000 0.7252
# D(E_F)	0.4879	states/eV per atom

=====

*2*
# PmGaAu4, relaxed, DFT PBE
data_PmGaAu4
_chemical_formula_sum 'Pm4 Ga4 Au16'
_space_group_name_H-M_alt 'C m c m'
_space_group_IT_number 63
_space_group_name_Hall '-C 2c 2'
_cell_length_a 5.0257
_cell_length_b 13.8755
_cell_length_c 7.3440
_cell_angle_alpha 90.00
_cell_angle_beta 90.00
_cell_angle_gamma 90.00
loop_
_atom_site_label
_atom_site_fract_x
_atom_site_fract_y
_atom_site_fract_z
Pm1 0.0000 0.1187 0.2500
Ga1 0.0000 0.3634 0.2500
Au1 0.0000 0.0930 0.7500
Au2 0.0000 0.2871 0.5645
Au3 0.0000 0.5000 0.0000
# D(E_F)	0.3107	states/eV per atom

=====

Which of them is the most stable, and which is the least stable? *1* and *2*, in that order.

=====

*1*
# Pm3GaAu3, relaxed, DFT PBE
data_Pm3GaAu3
_chemical_formula_sum 'Pm6 Ga2 Au6'
_space_group_name_H-M_alt 'P 63/m'
_space_group_IT_number 176
_space_group_name_Hall '-P 6c'
_cell_length_a 8.8858
_cell_length_b 8.8858
_cell_length_c 6.0124
_cell_angle_alpha 90.00
_cell_angle_beta 90.00
_cell_angle_gamma 120.00
loop_
_atom_site_label
_atom_site_fract_x
_atom_site_fract_y
_atom_site_fract_z
Pm1 0.0369 0.3640 0.2500
Ga1 0.3333 0.6667 0.7500
Au1 0.0348 0.3459 0.7500
# D(E_F)	0.7885	states/eV per atom

=====

*2*
# Pm3GaAu3, relaxed, DFT PBE
data_Pm3GaAu3
_chemical_formula_sum 'Pm12 Ga4 Au12'
_space_group_name_H-M_alt 'C 1 2/m 1'
_space_group_IT_number 12
_cell_length_a 10.9718
_cell_length_b 4.2755
_cell_length_c 15.5350
_cell_angle_alpha 90.00
_cell_angle_beta 108.87
_cell_angle_gamma 90.00
loop_
_space_group_symop_operation_xyz
'x,y,z'
'-x,-y,-z'
'-x,y,-z'
'x,-y,z'
'x+1/2,y+1/2,z'
'-x+1/2,-y+1/2,-z'
'-x+1/2,y+1/2,-z'
'x+1/2,-y+1/2,z'
loop_
_atom_site_label
_atom_site_fract_x
_atom_site_fract_y
_atom_site_fract_z
Pm1 0.0293 0.0000 0.3898
Pm2 0.1007 0.0000 0.9203
Pm3 0.2451 0.0000 0.2328
Ga1 0.2350 0.5000 0.3876
Au1 0.0231 0.5000 0.2329
Au2 0.1221 0.5000 0.0771
Au3 0.1390 0.5000 0.5441
# D(E_F)	0.8438	states/eV per atom

=====

Which of them is the most stable, and which is the least stable? *2* and *1*, in that order.

=====

*1*
# PmGa3Au, relaxed, DFT PBE
data_PmGa3Au
_chemical_formula_sum 'Pm2 Ga6 Au2'
_space_group_name_H-M_alt 'I 4 m m'
_space_group_IT_number 107
_space_group_name_Hall 'I 4 -2'
_cell_length_a 4.2927
_cell_length_b 4.2927
_cell_length_c 11.0001
_cell_angle_alpha 90.00
_cell_angle_beta 90.00
_cell_angle_gamma 90.00
loop_
_atom_site_label
_atom_site_fract_x
_atom_site_fract_y
_atom_site_fract_z
Pm1 0.0000 0.0000 0.0000
Ga1 0.0000 0.0000 0.5929
Ga2 0.0000 0.5000 0.2344
Au1 0.0000 0.0000 0.3661
# D(E_F)	0.3279	states/eV per atom

=====

*2*
# PmGa3Au, relaxed, DFT PBE
data_PmGa3Au
_chemical_formula_sum 'Pm4 Ga12 Au4'
_space_group_name_H-M_alt 'C m m m'
_space_group_IT_number 65
_space_group_name_Hall '-C 2 2'
_cell_length_a 4.2183
_cell_length_b 23.9946
_cell_length_c 4.2348
_cell_angle_alpha 90.00
_cell_angle_beta 90.00
_cell_angle_gamma 90.00
loop_
_atom_site_label
_atom_site_fract_x
_atom_site_fract_y
_atom_site_fract_z
Pm1 0.0000 0.1713 0.0000
Ga1 0.0000 0.0519 0.5000
Ga2 0.0000 0.2762 0.5000
Ga3 0.0000 0.4481 0.0000
Au1 0.0000 0.3819 0.5000
# D(E_F)	0.3738	states/eV per atom

=====

Which of them is the most stable, and which is the least stable? *1* and *2*, in that order.

=====

*1*
# Pm2GaAu3, relaxed, DFT PBE
data_Pm2GaAu3
_chemical_formula_sum 'Pm2 Ga1 Au3'
_space_group_name_H-M_alt 'P m m 2'
_space_group_IT_number 25
_cell_length_a 3.6147
_cell_length_b 4.6414
_cell_length_c 8.1573
_cell_angle_alpha 90.00
_cell_angle_beta 90.00
_cell_angle_gamma 90.00
loop_
_space_group_symop_operation_xyz
'x,y,z'
'-x,-y,z'
'-x,y,z'
'x,-y,z'
loop_
_atom_site_label
_atom_site_fract_x
_atom_site_fract_y
_atom_site_fract_z
Pm1 0.0000 0.0000 0.0000
Pm2 0.0000 0.5000 0.4831
Ga1 0.5000 0.5000 0.8182
Au1 0.5000 0.0000 0.3321
Au2 0.5000 0.0000 0.6743
Au3 0.5000 0.5000 0.1400
# D(E_F)	0.6435	states/eV per atom

=====

*2*
# Pm2GaAu3, relaxed, DFT PBE
data_Pm2GaAu3
_chemical_formula_sum 'Pm4 Ga2 Au6'
_space_group_name_H-M_alt 'I m m 2'
_space_group_IT_number 44
_cell_length_a 3.9685
_cell_length_b 4.1999
_cell_length_c 17.2565
_cell_angle_alpha 90.00
_cell_angle_beta 90.00
_cell_angle_gamma 90.00
loop_
_space_group_symop_operation_xyz
'x,y,z'
'-x,-y,z'
'-x,y,z'
'x,-y,z'
'x+1/2,y+1/2,z+1/2'
'-x+1/2,-y+1/2,z+1/2'
'-x+1/2,y+1/2,z+1/2'
'x+1/2,-y+1/2,z+1/2'
loop_
_atom_site_label
_atom_site_fract_x
_atom_site_fract_y
_atom_site_fract_z
Pm1 0.0000 0.0000 0.0000
Pm2 0.0000 0.5000 0.2492
Ga1 0.0000 0.0000 0.5847
Au1 0.0000 0.0000 0.4338
Au2 0.0000 0.5000 0.6647
Au3 0.0000 0.5000 0.8244
# D(E_F)	0.6117	states/eV per atom

=====

Which of them is the most stable, and which is the least stable? *1* and *2*, in that order.